1.
Below is BeBi2F after structural relaxation, with properties calculated at the GGA-PBE level.

Properties
- Spin magnetization: 0.000 μB per atom
- VASP energy: -14.175 eV/f.u.
- E_form (uncorrected): -0.204 eV per atom
- DOS(E_F): 7.07 states/eV/cell
- Energy relative to the lowest polymorph listed for this composition: 0.152 eV/atom

Cell lengths 7.9255, 7.9255, 7.9255 Å; angles 141.22, 141.22, 56.01 degrees
Element x y z (fractional)
1 Be 0.0000 0.0000 0.0000
2 Be 0.7500 0.2500 0.5000
3 Bi 0.1140 0.6250 0.9890
4 Bi 0.3750 0.3640 0.4890
5 Bi 0.6360 0.1250 0.0110
6 Bi 0.8750 0.8860 0.5110
7 F 0.2500 0.7500 0.5000
8 F 0.5000 0.5000 0.0000

2.
Below is YPb after structural relaxation, with properties calculated at the GGA-PBE level.

Properties
- Spin magnetization: 0.000 μB per atom
- VASP energy: -10.964 eV/f.u.
- Energy of formation from the pure elements: -396 meV/atom
- DOS(E_F): 1.63 states/eV/cell

Cell lengths 4.9169, 4.9169, 4.9169 Å; angles 48.60, 48.60, 48.60 degrees
Element x y z (fractional)
1 Y 0.0000 0.0000 0.0000
2 Pb 0.5000 0.5000 0.5000

3.
Below is Pm8Dy4Tm after structural relaxation, with properties calculated at the GGA-PBE level.

Properties
- Spin magnetization: 0.000 μB per atom
- VASP energy: -54.755 eV/f.u.
- Energy of formation from the pure elements: 472 meV/atom
- DOS(E_F): 20.34 states/eV/cell

Cell lengths 7.8386, 7.8386, 7.8386 Å; angles 90.15, 90.15, 90.15 degrees
Element x y z (fractional)
1 Pm 0.2403 0.2403 0.2403
2 Pm 0.2403 0.2403 0.7583
3 Pm 0.2403 0.7583 0.2403
4 Pm 0.2417 0.7597 0.7597
5 Pm 0.7583 0.2403 0.2403
6 Pm 0.7597 0.2417 0.7597
7 Pm 0.7597 0.7597 0.2417
8 Pm 0.7597 0.7597 0.7597
9 Dy 0.0000 0.0000 0.0000
10 Dy 0.0000 0.5000 0.5000
11 Dy 0.5000 0.0000 0.5000
12 Dy 0.5000 0.5000 0.0000
13 Tm 0.5000 0.5000 0.5000